# 1
The following is a DFT calculation (PBE-GGA) of a relaxed GaSbTe2O crystal.

Values from the calculation:
Energy above the lowest structure with this stoichiometry (meV per atom): 0.0
D(E_F) (states/eV/cell): 3.58

Cell lengths 4.9553, 4.9553, 4.7696 Å; angles 90.00, 90.00, 90.00 degrees
Last column: nearest neighbours and their distance in Å.
Space group P4/mmm (No. 123)
Unique sites:
Ga1 0.0000 0.0000 0.0000  8 Te 3.44, 4 Sb 3.50
Sb1 0.5000 0.5000 0.0000  2 O 2.38
Te1 0.0000 0.5000 0.5000  2 O 2.48
O1 0.5000 0.5000 0.5000  2 Sb 2.38, 4 Te 2.48

# 2
The following is a DFT calculation (PBE-GGA) of a relaxed TiGaSbO6 crystal.

Values from the calculation:
D(E_F) (states/eV/cell): 0.00

Cell lengths 4.6630, 4.6630, 9.1612 Å; angles 90.00, 90.00, 90.00 degrees
Last column: nearest neighbours and their distance in Å.
Space group P4_2nm (No. 102)
Unique sites:
Ti1 0.0000 0.0000 0.0000  6 O 1.95-2.00
Ga1 0.0000 0.0000 0.3313  6 O 2.00-2.02
Sb1 0.0000 0.0000 0.6635  6 O 2.00-2.02
O1 0.1937 0.1937 0.1614  1 Ti 1.95, 1 Ga 2.01, 1 Sb 2.02
O2 0.1936 0.1936 0.8326  1 Ti 2.00, 1 Sb 2.01, 1 Ga 2.02
O3 0.1970 0.1970 0.4975  1 Ti 2.00, 1 Sb 2.00, 1 Ga 2.00

# 3
The following is a DFT calculation (PBE-GGA) of a relaxed TlGa2SbO8 crystal.

Values from the calculation:
D(E_F) (states/eV/cell): 20.35

Cell lengths 6.7029, 6.7029, 6.7429 Å; angles 90.00, 90.00, 90.00 degrees
Last column: nearest neighbours and their distance in Å.
Space group I-4m2 (No. 119)
Unique sites:
Tl1 0.0000 0.0000 0.0000  4 O 2.20
Ga1 0.0000 0.0000 0.5000  4 O 1.86
Ga2 0.0000 0.5000 0.7500  4 O 1.85
Sb1 0.0000 0.5000 0.2500  8 O 2.04-2.27
O1 0.0000 0.2029 0.3127  1 Ga 1.86, 1 Sb 2.04
O2 0.0000 0.3254 0.9620  1 Ga 1.85

# 4
The following is a DFT calculation (PBE-GGA) of a relaxed TmGa2SbO8 crystal.

Values from the calculation:
D(E_F) (states/eV/cell): 19.01

Cell lengths 6.7711, 6.7711, 6.5916 Å; angles 90.00, 90.00, 90.00 degrees
Last column: nearest neighbours and their distance in Å.
Space group I-4m2 (No. 119)
Unique sites:
Tm1 0.0000 0.0000 0.0000  8 O 2.20-2.42
Ga1 0.0000 0.0000 0.5000  4 O 1.86
Ga2 0.0000 0.5000 0.2500  4 O 1.83
Sb1 0.0000 0.5000 0.7500  8 O 2.07-2.26
O1 0.0000 0.1990 0.6944  1 Ga 1.86, 1 Sb 2.07
O2 0.0000 0.3222 0.0399  1 Ga 1.83

# 5
The following is a DFT calculation (PBE-GGA) of a relaxed UGaSbO6 crystal.

Cell lengths 5.3812, 5.3812, 9.8265 Å; angles 90.00, 90.00, 120.00 degrees
Last column: nearest neighbours and their distance in Å.
Space group P-31c (No. 163)
Unique sites:
U1 0.3333 0.6667 0.2500  6 O 2.10
Ga1 0.3333 0.6667 0.7500  6 O 2.03
Sb1 0.0000 0.0000 0.0000  6 O 2.33
O1 0.0100 0.3571 0.6372  1 Ga 2.03, 1 U 2.10

no.,formation energy without anion corrections (eV per atom),total moment (μB/f.u.)
1,0.076,0.00
2,-2.053,0.00
3,-0.932,1.91
4,-1.610,2.05
5,-2.114,0.00